[1]
Here is a relaxed GdDy2In crystal from OQMD. Energies are from PBE-GGA.

Unit cell a=4.841 b=4.841 c=4.862 alpha=90.00 beta=90.00 gamma=90.00
Space group P4/mmm (No. 123)
Asymmetric unit:
Gd 0.000 0.000 0.000 (multiplicity 1)
Dy 0.000 0.500 0.500 (multiplicity 2)
In 0.500 0.500 0.000 (multiplicity 1)

***

[2]
Here is a relaxed BaLiFeP2 crystal from OQMD. Energies are from PBE-GGA.

Unit cell a=4.003 b=4.003 c=12.026 alpha=90.00 beta=90.00 gamma=90.00
Space group I-4m2 (No. 119)
Asymmetric unit:
Ba 0.000 0.000 0.000 (multiplicity 2)
Li 0.000 0.500 0.750 (multiplicity 2)
Fe 0.000 0.500 0.250 (multiplicity 2)
P 0.000 0.000 0.345 (multiplicity 4)

***

Energy? In order: -4.420, -5.228 eV per atom.